VASP calculation (PBE) on CeMgSc after structural relaxation.

Cell: 3.2266 3.2279 16.5898 Å, 84.47 84.42 60.02°
Space group P-1 (No. 2)
One atom of each set of equivalent atoms:
1 Ce 0.1368 0.1371 0.0885
2 Mg 0.3597 0.3592 0.4198
3 Sc 0.2543 0.2510 0.7429

**Mass density**: 4.68 g/cm³
**Size of the total moment**: 0.00 Bohr magnetons per cell
**Polymorph energy (0 for the lowest one)**: 41 meV per atom
**DFT total energy**: -4.574 eV/atom